Entry 1:
First-principles (GGA-PBE) data for a relaxed CoSiAs crystal, as listed in Alexandria via LeMat-Bulk.

Cell lengths 4.508, 4.508, 4.508 Å; angles 137.54, 137.36, 61.74 degrees
Fractional coordinates of all 3 atoms:
Co: 0.000 0.000 0.000
Si: 0.353 0.353 0.000
As: 0.675 0.675 0.000

DOS at the Fermi energy	2.15	states/eV per cell
E_form (uncorrected)	0.6	eV per formula unit

---

Entry 2:
First-principles (GGA-PBE) data for a relaxed CoSi2As crystal, as listed in Alexandria via LeMat-Bulk.

Cell lengths 5.843, 5.843, 5.843 Å; angles 153.07, 139.46, 49.34 degrees
Fractional coordinates of all 4 atoms:
Co: 0.000 0.000 0.000
Si: 0.194 0.694 0.500
Si: 0.806 0.306 0.500
As: 0.500 0.500 0.000

DOS at the Fermi energy	2.90	states/eV per cell
E_form (uncorrected)	0.8	eV per formula unit

---

Entry 3:
First-principles (GGA-PBE) data for a relaxed CoSi2As crystal, as listed in Alexandria via LeMat-Bulk.

Cell lengths 4.545, 4.545, 4.545 Å; angles 128.92, 128.92, 75.14 degrees
Fractional coordinates of all 4 atoms:
Co: 0.000 0.000 0.000
Si: 0.250 0.750 0.500
Si: 0.750 0.250 0.500
As: 0.500 0.500 0.000

DOS at the Fermi energy	2.44	states/eV per cell
E_form (uncorrected)	1.5	eV per formula unit

---

Entry 4:
First-principles (GGA-PBE) data for a relaxed Co2SiAs crystal, as listed in Alexandria via LeMat-Bulk.

Cell lengths 6.341, 6.341, 6.341 Å; angles 132.12, 132.12, 70.04 degrees
Fractional coordinates of all 8 atoms:
Co: 0.117 0.625 0.992
Co: 0.375 0.367 0.492
Co: 0.633 0.125 0.008
Co: 0.875 0.883 0.508
Si: 0.000 0.000 0.000
Si: 0.750 0.250 0.500
As: 0.250 0.750 0.500
As: 0.500 0.500 0.000

DOS at the Fermi energy	5.20	states/eV per cell
E_form (uncorrected)	0.9	eV per formula unit

---

Entry 5:
First-principles (GGA-PBE) data for a relaxed Co2SiAs crystal, as listed in Alexandria via LeMat-Bulk.

Cell lengths 7.466, 7.466, 7.466 Å; angles 22.48, 22.48, 22.48 degrees
Fractional coordinates of all 4 atoms:
Co: 0.000 0.000 0.000
Co: 0.244 0.244 0.244
Si: 0.737 0.737 0.737
As: 0.502 0.502 0.502

DOS at the Fermi energy	2.78	states/eV per cell
E_form (uncorrected)	0.6	eV per formula unit

---

Entry 6:
First-principles (GGA-PBE) data for a relaxed Co2SiAs crystal, as listed in Alexandria via LeMat-Bulk.

Cell lengths 2.795, 2.814, 6.177 Å; angles 90.00, 90.10, 90.00 degrees
Fractional coordinates of all 4 atoms:
Co: 0.001 0.000 0.215
Co: 0.999 0.000 0.785
Si: 0.500 0.500 0.000
As: 0.500 0.500 0.500

DOS at the Fermi energy	3.29	states/eV per cell
E_form (uncorrected)	-0.6	eV per formula unit

---

Entry 7:
First-principles (GGA-PBE) data for a relaxed Co2SiAs crystal, as listed in Alexandria via LeMat-Bulk.

Cell lengths 4.080, 4.080, 4.080 Å; angles 60.00, 60.00, 60.00 degrees
Fractional coordinates of all 4 atoms:
Co: 0.250 0.250 0.250
Co: 0.750 0.750 0.750
Si: 0.000 0.000 0.000
As: 0.500 0.500 0.500

DOS at the Fermi energy	5.85	states/eV per cell
E_form (uncorrected)	-0.2	eV per formula unit

---

Entry 8:
First-principles (GGA-PBE) data for a relaxed CoSi2As crystal, as listed in Alexandria via LeMat-Bulk.

Cell lengths 8.276, 8.276, 8.276 Å; angles 19.85, 19.85, 19.85 degrees
Fractional coordinates of all 4 atoms:
Co: 0.000 0.000 0.000
Si: 0.264 0.264 0.264
Si: 0.736 0.736 0.736
As: 0.500 0.500 0.500

DOS at the Fermi energy	2.06	states/eV per cell
E_form (uncorrected)	0.5	eV per formula unit

---

Entry 9:
First-principles (GGA-PBE) data for a relaxed CoSi2As crystal, as listed in Alexandria via LeMat-Bulk.

Cell lengths 6.426, 6.426, 6.426 Å; angles 129.84, 129.84, 73.65 degrees
Fractional coordinates of all 8 atoms:
Co: 0.000 0.000 0.000
Co: 0.750 0.250 0.500
Si: 0.088 0.625 0.963
Si: 0.375 0.338 0.463
Si: 0.662 0.125 0.037
Si: 0.875 0.912 0.537
As: 0.250 0.750 0.500
As: 0.500 0.500 0.000

DOS at the Fermi energy	4.54	states/eV per cell
E_form (uncorrected)	0.7	eV per formula unit

---

Entry 10:
First-principles (GGA-PBE) data for a relaxed CoSi2As crystal, as listed in Alexandria via LeMat-Bulk.

Cell lengths 3.967, 3.967, 5.437 Å; angles 105.54, 105.54, 46.18 degrees
Fractional coordinates of all 4 atoms:
Co: 0.000 0.000 0.000
Si: 0.259 0.259 0.819
Si: 0.741 0.741 0.181
As: 0.500 0.500 0.500

DOS at the Fermi energy	2.52	states/eV per cell
E_form (uncorrected)	0.5	eV per formula unit

---

Entry 11:
First-principles (GGA-PBE) data for a relaxed CoSi2As crystal, as listed in Alexandria via LeMat-Bulk.

Cell lengths 4.513, 2.727, 5.425 Å; angles 90.00, 114.23, 90.00 degrees
Fractional coordinates of all 4 atoms:
Co: 0.000 0.000 0.000
Si: 0.195 0.500 0.388
Si: 0.805 0.500 0.612
As: 0.500 0.000 0.000

DOS at the Fermi energy	2.18	states/eV per cell
E_form (uncorrected)	0.2	eV per formula unit

---

Entry 12:
First-principles (GGA-PBE) data for a relaxed CoSi2As crystal, as listed in Alexandria via LeMat-Bulk.

Cell lengths 4.024, 4.024, 5.598 Å; angles 110.91, 110.91, 47.70 degrees
Fractional coordinates of all 4 atoms:
Co: 0.000 0.000 0.000
Si: 0.537 0.537 0.357
Si: 0.750 0.750 0.139
As: 0.224 0.224 0.757

DOS at the Fermi energy	2.36	states/eV per cell
E_form (uncorrected)	0.2	eV per formula unit